# 1
SrBeB PBE optimized geometry; space group = Immm (71); DFT formation energy = 0.1454 eV per atom; N(E_F) = 3.29 states/eV/cell; energy relative to the lowest polymorph listed for this composition = 182 meV per atom
1.0
-2.107 2.407 6.526
2.107 -2.407 6.526
2.107 2.407 -6.526
Sr Be B
2 2 2
direct
0.144 0.144 0.000
0.856 0.856 0.000
0.425 0.425 0.000
0.575 0.575 0.000
0.164 0.500 0.664
0.836 0.500 0.336


# 2
SrBeB PBE optimized geometry; space group = P-1 (2); DFT formation energy = -0.0083 eV per atom; N(E_F) = 2.21 states/eV/cell; energy relative to the lowest polymorph listed for this composition = 28 meV per atom
1.0
3.767 0.000 0.000
-1.434 3.484 0.000
-0.270 -0.437 8.719
Sr Be B
2 2 2
direct
0.220 0.222 0.286
0.780 0.778 0.714
0.228 0.772 0.000
0.772 0.228 0.000
0.320 0.319 0.944
0.680 0.681 0.056


# 3
Sr2BeB PBE optimized geometry; space group = Fm-3m (225); DFT formation energy = 0.7551 eV per atom; N(E_F) = 4.84 states/eV/cell; energy relative to the lowest polymorph listed for this composition = 0 meV per atom
1.0
0.000 3.615 3.615
3.615 0.000 3.615
3.615 3.615 0.000
Sr Be B
2 1 1
direct
0.250 0.250 0.250
0.750 0.750 0.750
0.000 0.000 0.000
0.500 0.500 0.500


# 4
SrBeB PBE optimized geometry; space group = C2/m (12); DFT formation energy = 0.0994 eV per atom; N(E_F) = 2.74 states/eV/cell; energy relative to the lowest polymorph listed for this composition = 135 meV per atom
1.0
3.421 -1.701 0.000
3.421 1.701 0.000
-1.000 0.000 9.360
Sr Be B
2 2 2
direct
0.175 0.175 0.209
0.825 0.825 0.791
0.145 0.145 0.547
0.855 0.855 0.453
0.443 0.443 0.574
0.557 0.557 0.426


# 5
SrBeB PBE optimized geometry; space group = Immm (71); DFT formation energy = 0.0197 eV per atom; N(E_F) = 2.35 states/eV/cell; energy relative to the lowest polymorph listed for this composition = 56 meV per atom
1.0
-2.222 2.467 4.793
2.222 -2.467 4.793
2.222 2.467 -4.793
Sr Be B
2 2 2
direct
0.180 0.180 0.000
0.820 0.820 0.000
0.500 0.266 0.766
0.500 0.734 0.234
0.163 0.500 0.663
0.837 0.500 0.337


# 6
SrBeBW2 PBE optimized geometry; space group = P4/mmm (123); DFT formation energy = 3.8589 eV per atom; N(E_F) = 5.09 states/eV/cell
1.0
4.895 0.000 0.000
0.000 4.895 0.000
0.000 0.000 4.217
Sr Be B W
1 1 1 2
direct
0.000 0.000 0.000
0.500 0.500 0.500
0.000 0.000 0.500
0.000 0.500 0.000
0.500 0.000 0.000


# 7
TaBeB3 PBE optimized geometry; space group = Pm-3m (221); DFT formation energy = 1.0029 eV per atom; N(E_F) = 1.95 states/eV/cell; energy relative to the lowest polymorph listed for this composition = 1394 meV per atom
1.0
3.580 0.000 0.000
0.000 3.580 0.000
0.000 0.000 3.580
Ta Be B
1 1 3
direct
0.000 0.000 0.000
0.500 0.500 0.500
0.000 0.500 0.500
0.500 0.000 0.500
0.500 0.500 0.000


# 8
TaBe2B PBE optimized geometry; space group = P2_1/m (11); DFT formation energy = -0.4337 eV per atom; N(E_F) = 1.11 states/eV/cell
1.0
3.214 0.000 0.000
0.000 3.282 0.000
-1.614 0.000 7.206
Ta Be B
2 4 2
direct
0.104 0.250 0.208
0.896 0.750 0.792
0.251 0.750 0.501
0.464 0.250 0.928
0.536 0.750 0.072
0.749 0.250 0.499
0.335 0.250 0.670
0.665 0.750 0.330